The following is a PBE-GGA calculation of a geometry-optimized ZrCrPb2 structure, from the Alexandria database.

a = 3.3966 Å, b = 3.3966 Å, c = 28.3046 Å
α = 90.00°, β = 90.00°, γ = 120.00°
Space group R-3m (No. 166, hexagonal axes)
Inequivalent atoms, fractional coordinates:
Zr1 0.0000 0.0000 0.0000 [3 per cell]
Cr1 0.0000 0.0000 0.5000 [3 per cell]
Pb1 0.0000 0.0000 0.2455 [6 per cell]

Computed properties:
E above lowest polymorph: 0.108 eV per atom
uncorrected energy: -6.078 eV per atom
crystal system: trigonal